# Zr2CrCd2 PBE optimized geometry
data_Zr2CrCd2
_symmetry_space_group_name_H-M 'P 1'
_symmetry_Int_Tables_number 1
_symmetry_space_group_name_Hall 'P 1'
_cell_length_a 7.2251
_cell_length_b 7.2251
_cell_length_c 4.1719
_cell_angle_alpha 90.00
_cell_angle_beta 90.00
_cell_angle_gamma 90.00
loop_
_atom_site_label
_atom_site_type_symbol
_atom_site_fract_x
_atom_site_fract_y
_atom_site_fract_z
Zr1 Zr 0.1689 0.3311 0.0000
Zr2 Zr 0.3311 0.8311 0.0000
Zr3 Zr 0.6689 0.1689 0.0000
Zr4 Zr 0.8311 0.6689 0.0000
Cr1 Cr 0.0000 0.0000 0.5000
Cr2 Cr 0.5000 0.5000 0.5000
Cd1 Cd 0.1360 0.6360 0.5000
Cd2 Cd 0.3640 0.1360 0.5000
Cd3 Cd 0.6360 0.8640 0.5000
Cd4 Cd 0.8640 0.3640 0.5000
# Calculated formation energy: 313 meV per atom
# Space-group type: P4/mbm
# Energy: -5.397 eV/atom
# M_tot: 7.76 μB per cell
# D(E_F): 5.416 states/eV/f.u.
# Theoretical density: 7.00 g/cm3